1.
# MnPdPt5

An optimized crystal structure of MnPdPt5 (PBE-GGA, Alexandria via LeMat-Bulk).

Energy relative to the elements   -108 meV per atom
Symmetry   Cmmm (65)
Crystal system   orthorhombic
E   -6.47 eV per atom

Unit cell a=4.7555 b=4.7555 c=5.5044 alpha=90.00 beta=90.00 gamma=109.60
With the nearest neighbours (Å) after each atom.
Atoms (fractional coordinates):
1 Mn 0.0000 0.0000 0.0000  10 Pt 2.74-2.76
2 Pd 0.5000 0.5000 0.5000  10 Pt 2.73-2.75
3 Pt 0.0000 0.5000 0.2546  6 Pt 2.70-2.80, 2 Pd 2.73, 2 Mn 2.76
4 Pt 0.0000 0.5000 0.7454  6 Pt 2.70-2.80, 2 Pd 2.73, 2 Mn 2.76
5 Pt 0.5000 0.0000 0.2546  6 Pt 2.70-2.80, 2 Pd 2.73, 2 Mn 2.76
6 Pt 0.5000 0.0000 0.7454  6 Pt 2.70-2.80, 2 Pd 2.73, 2 Mn 2.76
7 Pt 0.5000 0.5000 0.0000  2 Mn 2.74, 2 Pd 2.75, 8 Pt 2.76



2.
# Mn4Pd3Pt2

An optimized crystal structure of Mn4Pd3Pt2 (PBE-GGA, Alexandria via LeMat-Bulk).

Energy relative to the elements   -250 meV per atom
Symmetry   C2/m (12)
Crystal system   monoclinic
E   -7.40 eV per atom

Unit cell a=4.5956 b=4.5956 c=8.2161 alpha=99.02 beta=99.02 gamma=52.95
With the nearest neighbours (Å) after each atom.
Atoms (fractional coordinates):
1 Mn 0.0117 0.0117 0.3345  6 Pd 2.65-2.92, 3 Pt 2.71-2.79, 3 Mn 2.76-2.95
2 Mn 0.3372 0.3372 0.1107  4 Pd 2.66-2.76, 4 Pt 2.68-2.75, 4 Mn 2.94-2.95
3 Mn 0.6628 0.6628 0.8893  4 Pd 2.66-2.76, 4 Pt 2.68-2.75, 4 Mn 2.94-2.95
4 Mn 0.9883 0.9883 0.6655  6 Pd 2.65-2.92, 3 Pt 2.71-2.79, 3 Mn 2.76-2.95
5 Pd 0.0000 0.0000 0.0000  8 Mn 2.69-2.76, 4 Pt 2.92
6 Pd 0.3362 0.3362 0.4338  6 Mn 2.65-2.92, 3 Pd 2.72-2.82, 3 Pt 2.88-2.89
7 Pd 0.6638 0.6638 0.5662  6 Mn 2.65-2.92, 3 Pd 2.72-2.82, 3 Pt 2.88-2.89
8 Pt 0.3273 0.3273 0.7826  7 Mn 2.68-2.79, 5 Pd 2.88-2.92
9 Pt 0.6727 0.6727 0.2174  7 Mn 2.68-2.79, 5 Pd 2.88-2.92



3.
# MnPd6Pt

An optimized crystal structure of MnPd6Pt (PBE-GGA, Alexandria via LeMat-Bulk).

Energy relative to the elements   460 meV per atom
Symmetry   R-3m (166)
Crystal system   trigonal
E   -5.34 eV per atom
Offset from the most stable computed form   565 meV/atom

Unit cell a=7.2677 b=7.2677 c=7.2677 alpha=42.31 beta=42.31 gamma=42.31
With the nearest neighbours (Å) after each atom.
Atoms (fractional coordinates):
1 Mn 0.0000 0.0000 0.0000  6 Pd 2.51
2 Pd 0.0682 0.0682 0.5630  1 Mn 2.51, 5 Pd 2.60-2.65
3 Pd 0.0682 0.5630 0.0682  1 Mn 2.51, 5 Pd 2.60-2.65
4 Pd 0.4370 0.9318 0.9318  1 Mn 2.51, 5 Pd 2.60-2.65
5 Pd 0.5630 0.0682 0.0682  1 Mn 2.51, 5 Pd 2.60-2.65
6 Pd 0.9318 0.4370 0.9318  1 Mn 2.51, 5 Pd 2.60-2.65
7 Pd 0.9318 0.9318 0.4370  1 Mn 2.51, 5 Pd 2.60-2.65
8 Pt 0.5000 0.5000 0.5000  12 Pd 2.94



4.
# Mn5Pd4Pt

An optimized crystal structure of Mn5Pd4Pt (PBE-GGA, Alexandria via LeMat-Bulk).

Energy relative to the elements   -256 meV per atom
Symmetry   P4/mmm (123)
Crystal system   tetragonal
E   -7.52 eV per atom

Unit cell a=3.2320 b=3.2320 c=14.3938 alpha=90.00 beta=90.00 gamma=90.00
With the nearest neighbours (Å) after each atom.
Atoms (fractional coordinates):
1 Mn 0.0000 0.0000 0.0000  8 Pd 2.70, 2 Mn 2.87
2 Mn 0.0000 0.0000 0.1991  8 Pd 2.70, 2 Mn 2.86-2.87
3 Mn 0.0000 0.0000 0.3976  4 Pd 2.69, 4 Pt 2.72, 2 Mn 2.86-2.95
4 Mn 0.0000 0.0000 0.6024  4 Pd 2.69, 4 Pt 2.72, 2 Mn 2.86-2.95
5 Mn 0.0000 0.0000 0.8009  8 Pd 2.70, 2 Mn 2.86-2.87
6 Pd 0.5000 0.5000 0.0998  8 Mn 2.70, 2 Pd 2.87
7 Pd 0.5000 0.5000 0.2990  8 Mn 2.69-2.70, 1 Pd 2.87, 1 Pt 2.89
8 Pd 0.5000 0.5000 0.7010  8 Mn 2.69-2.70, 1 Pd 2.87, 1 Pt 2.89
9 Pd 0.5000 0.5000 0.9002  8 Mn 2.70, 2 Pd 2.87
10 Pt 0.5000 0.5000 0.5000  8 Mn 2.72, 2 Pd 2.89



5.
# MnPd8Pt2

An optimized crystal structure of MnPd8Pt2 (PBE-GGA, Alexandria via LeMat-Bulk).

Energy relative to the elements   132 meV per atom
Symmetry   C2/m (12)
Crystal system   monoclinic
E   -5.58 eV per atom
Offset from the most stable computed form   234 meV/atom

Unit cell a=7.1182 b=7.1182 c=4.8601 alpha=106.55 beta=106.55 gamma=118.62
With the nearest neighbours (Å) after each atom.
Atoms (fractional coordinates):
1 Mn 0.0000 0.0000 0.0000  4 Pd 2.51-2.60
2 Pd 0.0996 0.3238 0.6200  6 Pd 2.61-2.85, 2 Pt 2.66-2.71, 1 Mn 2.86
3 Pd 0.2122 0.7878 0.0000  1 Mn 2.60, 2 Pt 2.69, 4 Pd 2.79-2.85
4 Pd 0.3238 0.0996 0.6200  6 Pd 2.61-2.85, 2 Pt 2.66-2.71, 1 Mn 2.86
5 Pd 0.3972 0.3972 0.1791  1 Mn 2.51, 5 Pd 2.60-2.80, 2 Pt 2.71
6 Pd 0.6028 0.6028 0.8209  1 Mn 2.51, 5 Pd 2.60-2.80, 2 Pt 2.71
7 Pd 0.6762 0.9004 0.3800  6 Pd 2.61-2.85, 2 Pt 2.66-2.71, 1 Mn 2.86
8 Pd 0.7878 0.2122 0.0000  1 Mn 2.60, 2 Pt 2.69, 4 Pd 2.79-2.85
9 Pd 0.9004 0.6762 0.3800  6 Pd 2.61-2.85, 2 Pt 2.66-2.71, 1 Mn 2.86
10 Pt 0.3062 0.6938 0.5000  8 Pd 2.66-2.71
11 Pt 0.6938 0.3062 0.5000  8 Pd 2.66-2.71



6.
# MnPd2Pt3

An optimized crystal structure of MnPd2Pt3 (PBE-GGA, Alexandria via LeMat-Bulk).

Energy relative to the elements   -42 meV per atom
Symmetry   Cmcm (63)
Crystal system   orthorhombic
E   -6.32 eV per atom
Offset from the most stable computed form   74 meV/atom

Unit cell a=6.1717 b=6.1717 c=5.2547 alpha=90.00 beta=90.00 gamma=99.77
With the nearest neighbours (Å) after each atom.
Atoms (fractional coordinates):
1 Mn 0.0742 0.9258 0.7500  5 Pt 2.52-2.64
2 Mn 0.9258 0.0742 0.2500  5 Pt 2.52-2.64
3 Pd 0.0717 0.5874 0.2500  3 Pd 2.71-2.92, 5 Pt 2.74-2.80
4 Pd 0.4126 0.9283 0.2500  3 Pd 2.71-2.92, 5 Pt 2.74-2.80
5 Pd 0.5874 0.0717 0.7500  3 Pd 2.71-2.92, 5 Pt 2.74-2.80
6 Pd 0.9283 0.4126 0.7500  3 Pd 2.71-2.92, 5 Pt 2.74-2.80
7 Pt 0.2737 0.2737 0.0000  4 Pt 2.63-2.68, 2 Mn 2.64, 4 Pd 2.76-2.80
8 Pt 0.2737 0.2737 0.5000  4 Pt 2.63-2.68, 2 Mn 2.64, 4 Pd 2.76-2.80
9 Pt 0.3414 0.6586 0.7500  1 Mn 2.52, 4 Pt 2.68, 2 Pd 2.74
10 Pt 0.6586 0.3414 0.2500  1 Mn 2.52, 4 Pt 2.68, 2 Pd 2.74
11 Pt 0.7263 0.7263 0.0000  4 Pt 2.63-2.68, 2 Mn 2.64, 4 Pd 2.76-2.80
12 Pt 0.7263 0.7263 0.5000  4 Pt 2.63-2.68, 2 Mn 2.64, 4 Pd 2.76-2.80



7.
# Mn2Pd5Pt

An optimized crystal structure of Mn2Pd5Pt (PBE-GGA, Alexandria via LeMat-Bulk).

Energy relative to the elements   -246 meV per atom
Symmetry   Pbam (55)
Crystal system   orthorhombic
E   -6.54 eV per atom

Unit cell a=5.5612 b=11.1192 c=3.9147 alpha=90.00 beta=90.00 gamma=90.00
With the nearest neighbours (Å) after each atom.
Atoms (fractional coordinates):
1 Mn 0.2495 0.1243 0.0000  10 Pd 2.77-2.79, 2 Pt 2.77
2 Mn 0.2505 0.6243 0.0000  10 Pd 2.77-2.79, 2 Pt 2.77
3 Mn 0.7495 0.3757 0.0000  10 Pd 2.77-2.79, 2 Pt 2.77
4 Mn 0.7505 0.8757 0.0000  10 Pd 2.77-2.79, 2 Pt 2.77
5 Pd 0.0000 0.5000 0.5000  4 Mn 2.77, 6 Pd 2.78, 2 Pt 2.78
6 Pd 0.0023 0.2498 0.5000  4 Mn 2.77-2.79, 7 Pd 2.77-2.78, 1 Pt 2.78
7 Pd 0.2488 0.8751 0.0000  2 Pt 2.77, 4 Mn 2.77-2.79, 6 Pd 2.77-2.78
8 Pd 0.2512 0.3751 0.0000  2 Pt 2.77, 4 Mn 2.77-2.79, 6 Pd 2.77-2.78
9 Pd 0.4977 0.7498 0.5000  4 Mn 2.77-2.79, 7 Pd 2.77-2.78, 1 Pt 2.78
10 Pd 0.5000 0.0000 0.5000  4 Mn 2.77, 6 Pd 2.78, 2 Pt 2.78
11 Pd 0.5023 0.2502 0.5000  4 Mn 2.77-2.79, 7 Pd 2.77-2.78, 1 Pt 2.78
12 Pd 0.7488 0.6249 0.0000  2 Pt 2.77, 4 Mn 2.77-2.79, 6 Pd 2.77-2.78
13 Pd 0.7512 0.1249 0.0000  2 Pt 2.77, 4 Mn 2.77-2.79, 6 Pd 2.77-2.78
14 Pd 0.9977 0.7502 0.5000  4 Mn 2.77-2.79, 7 Pd 2.77-2.78, 1 Pt 2.78
15 Pt 0.0000 0.0000 0.5000  4 Mn 2.77, 8 Pd 2.77-2.78
16 Pt 0.5000 0.5000 0.5000  4 Mn 2.77, 8 Pd 2.77-2.78



8.
# MnPd2Pt6

An optimized crystal structure of MnPd2Pt6 (PBE-GGA, Alexandria via LeMat-Bulk).

Energy relative to the elements   17 meV per atom
Symmetry   C2/c (15)
Crystal system   monoclinic
E   -6.18 eV per atom
Offset from the most stable computed form   44 meV/atom

Unit cell a=6.6798 b=6.6798 c=8.9378 alpha=119.22 beta=119.22 gamma=61.05
With the nearest neighbours (Å) after each atom.
Atoms (fractional coordinates):
1 Mn 0.0388 0.9612 0.7500  8 Pt 2.55-2.77, 2 Pd 2.61
2 Mn 0.9612 0.0388 0.2500  8 Pt 2.55-2.77, 2 Pd 2.61
3 Pd 0.2748 0.5766 0.8498  1 Mn 2.61, 5 Pt 2.73-2.85
4 Pd 0.4234 0.7252 0.6502  1 Mn 2.61, 5 Pt 2.73-2.85
5 Pd 0.5766 0.2748 0.3498  1 Mn 2.61, 5 Pt 2.73-2.85
6 Pd 0.7252 0.4234 0.1502  1 Mn 2.61, 5 Pt 2.73-2.85
7 Pt 0.1080 0.1725 0.5961  2 Mn 2.55-2.69, 6 Pt 2.69-2.76, 2 Pd 2.81-2.85
8 Pt 0.1520 0.5707 0.1774  1 Mn 2.61, 5 Pt 2.68-2.78, 1 Pd 2.76
9 Pt 0.1725 0.1080 0.0961  2 Mn 2.55-2.69, 6 Pt 2.69-2.76, 2 Pd 2.81-2.85
10 Pt 0.1954 0.3833 0.4454  6 Pt 2.69-2.98, 3 Pd 2.73-2.95, 1 Mn 2.77
11 Pt 0.3833 0.1954 0.9454  6 Pt 2.69-2.98, 3 Pd 2.73-2.95, 1 Mn 2.77
12 Pt 0.4293 0.8480 0.3226  1 Mn 2.61, 5 Pt 2.68-2.78, 1 Pd 2.76
13 Pt 0.5707 0.1520 0.6774  1 Mn 2.61, 5 Pt 2.68-2.78, 1 Pd 2.76
14 Pt 0.6167 0.8046 0.0546  6 Pt 2.69-2.98, 3 Pd 2.73-2.95, 1 Mn 2.77
15 Pt 0.8046 0.6167 0.5546  6 Pt 2.69-2.98, 3 Pd 2.73-2.95, 1 Mn 2.77
16 Pt 0.8275 0.8920 0.9039  2 Mn 2.55-2.69, 6 Pt 2.69-2.76, 2 Pd 2.81-2.85
17 Pt 0.8480 0.4293 0.8226  1 Mn 2.61, 5 Pt 2.68-2.78, 1 Pd 2.76
18 Pt 0.8920 0.8275 0.4039  2 Mn 2.55-2.69, 6 Pt 2.69-2.76, 2 Pd 2.81-2.85



9.
# MnPd3Pt3

An optimized crystal structure of MnPd3Pt3 (PBE-GGA, Alexandria via LeMat-Bulk).

Energy relative to the elements   -174 meV per atom
Symmetry   R-3 (148)
Crystal system   trigonal
E   -6.30 eV per atom

Unit cell a=6.2344 b=6.2344 c=6.2344 alpha=72.47 beta=72.47 gamma=72.47
With the nearest neighbours (Å) after each atom.
Atoms (fractional coordinates):
1 Mn 0.2479 0.2479 0.2479  6 Pt 2.77, 6 Pd 2.78-2.81
2 Mn 0.7521 0.7521 0.7521  6 Pt 2.77, 6 Pd 2.78-2.81
3 Pd 0.1774 0.4654 0.6068  5 Pt 2.77-2.81, 5 Pd 2.78-2.79, 2 Mn 2.78-2.81
4 Pd 0.3932 0.8226 0.5346  5 Pt 2.77-2.81, 5 Pd 2.78-2.79, 2 Mn 2.78-2.81
5 Pd 0.4654 0.6068 0.1774  5 Pt 2.77-2.81, 5 Pd 2.78-2.79, 2 Mn 2.78-2.81
6 Pd 0.5346 0.3932 0.8226  5 Pt 2.77-2.81, 5 Pd 2.78-2.79, 2 Mn 2.78-2.81
7 Pd 0.6068 0.1774 0.4654  5 Pt 2.77-2.81, 5 Pd 2.78-2.79, 2 Mn 2.78-2.81
8 Pd 0.8226 0.5346 0.3932  5 Pt 2.77-2.81, 5 Pd 2.78-2.79, 2 Mn 2.78-2.81
9 Pt 0.0327 0.8929 0.3243  5 Pt 2.77-2.81, 2 Mn 2.77, 5 Pd 2.77-2.81
10 Pt 0.1071 0.6757 0.9673  5 Pt 2.77-2.81, 2 Mn 2.77, 5 Pd 2.77-2.81
11 Pt 0.3243 0.0327 0.8929  5 Pt 2.77-2.81, 2 Mn 2.77, 5 Pd 2.77-2.81
12 Pt 0.6757 0.9673 0.1071  5 Pt 2.77-2.81, 2 Mn 2.77, 5 Pd 2.77-2.81
13 Pt 0.8929 0.3243 0.0327  5 Pt 2.77-2.81, 2 Mn 2.77, 5 Pd 2.77-2.81
14 Pt 0.9673 0.1071 0.6757  5 Pt 2.77-2.81, 2 Mn 2.77, 5 Pd 2.77-2.81



10.
# MnPd2Pt2

An optimized crystal structure of MnPd2Pt2 (PBE-GGA, Alexandria via LeMat-Bulk).

Energy relative to the elements   45 meV per atom
Symmetry   P6_3/mmc (194)
Crystal system   hexagonal
E   -6.28 eV per atom
Offset from the most stable computed form   14 meV/atom

Unit cell a=4.3259 b=4.3259 c=9.9419 alpha=90.00 beta=90.00 gamma=120.00
With the nearest neighbours (Å) after each atom.
Atoms (fractional coordinates):
1 Mn 0.0000 0.0000 0.2500  5 Pt 2.49-2.50
2 Mn 0.0000 0.0000 0.7500  5 Pt 2.49-2.50
3 Pd 0.3333 0.6667 0.1059  6 Pt 2.71-2.88, 1 Pd 2.87, 3 Mn 2.88
4 Pd 0.3333 0.6667 0.3941  6 Pt 2.71-2.88, 1 Pd 2.87, 3 Mn 2.88
5 Pd 0.6667 0.3333 0.6059  6 Pt 2.71-2.88, 1 Pd 2.87, 3 Mn 2.88
6 Pd 0.6667 0.3333 0.8941  6 Pt 2.71-2.88, 1 Pd 2.87, 3 Mn 2.88
7 Pt 0.0000 0.0000 0.0000  2 Mn 2.49, 6 Pd 2.71
8 Pt 0.0000 0.0000 0.5000  2 Mn 2.49, 6 Pd 2.71
9 Pt 0.3333 0.6667 0.7500  3 Mn 2.50
10 Pt 0.6667 0.3333 0.2500  3 Mn 2.50